Entry 1:
DFT (PBE-GGA) results for a relaxed Ac2AlTe crystal.

The value obtained for the excess energy over the best structure of this formula in the dataset is 0.297 eV per atom. Its volume is 33.45 Å³ per atom. The calculation puts the total energy at -4.37 eV/atom. Its formation energy from raw total energies is -0.594 eV/atom.

It has space group Fm-3m (No. 225), with a = 8.119 Å, b = 8.119 Å, c = 8.119 Å, α = 90.00°, β = 90.00° and γ = 90.00°. The distinct sites, in fractional coordinates, are Ac at (0.250, 0.250, 0.250), Al at (0.000, 0.000, 0.000) and Te at (0.000, 0.000, 0.500).


Entry 2:
DFT (PBE-GGA) results for a relaxed Ac12MgNi6 crystal.

Its volume is 32.45 Å³ per atom. The calculation puts the total energy at -4.70 eV/atom.

It has space group Im-3 (No. 204), with a = 10.723 Å, b = 10.723 Å, c = 10.723 Å, α = 90.00°, β = 90.00° and γ = 90.00°. The distinct sites, in fractional coordinates, are Ac at (0.000, 0.183, 0.313), Mg at (0.000, 0.000, 0.000) and Ni at (0.000, 0.383, 0.500).


Entry 3:
DFT (PBE-GGA) results for a relaxed LaPm2Ga2Pt7 crystal.

Its volume is 20.15 Å³ per atom. The calculation puts the total energy at -6.16 eV/atom.

It has space group C2/m (No. 12), with a = 5.886 Å, b = 5.810 Å, c = 14.315 Å, α = 90.00°, β = 98.84° and γ = 90.00°. The distinct sites, in fractional coordinates, are La at (0.000, 0.000, 0.000), Pm at (0.118, 0.000, 0.360), Ga at (0.097, 0.500, 0.258), Pt at (0.000, 0.500, 0.000), Pt at (0.132, 0.500, 0.431) and Pt at (0.190, 0.250, 0.841).


Entry 4:
DFT (PBE-GGA) results for a relaxed Mn2CdSb crystal.

The value obtained for the excess energy over the best structure of this formula in the dataset is 0.353 eV per atom. Its volume is 15.43 Å³ per atom. The calculation puts the total energy at -5.24 eV/atom. Its formation energy from raw total energies is 0.606 eV/atom.

It has space group Fm-3m (No. 225), with a = 6.273 Å, b = 6.273 Å, c = 6.273 Å, α = 90.00°, β = 90.00° and γ = 90.00°. The distinct sites, in fractional coordinates, are Mn at (0.250, 0.250, 0.250), Cd at (0.000, 0.000, 0.000) and Sb at (0.000, 0.000, 0.500).


Entry 5:
DFT (PBE-GGA) results for a relaxed MgAuSe2Br crystal.

The value obtained for the excess energy over the best structure of this formula in the dataset is 0.000 eV per atom. Its volume is 27.48 Å³ per atom. The calculation puts the total energy at -2.55 eV/atom. Its formation energy from raw total energies is 0.150 eV/atom.

It has space group P4/mmm (No. 123), with a = 5.155 Å, b = 5.155 Å, c = 5.170 Å, α = 90.00°, β = 90.00° and γ = 90.00°. The distinct sites, in fractional coordinates, are Mg at (0.000, 0.000, 0.000), Au at (0.500, 0.500, 0.500), Se at (0.000, 0.500, 0.500) and Br at (0.500, 0.500, 0.000).


Entry 6:
DFT (PBE-GGA) results for a relaxed TiHg2Mo crystal.

The value obtained for the excess energy over the best structure of this formula in the dataset is 0.000 eV per atom. Its volume is 18.40 Å³ per atom. The calculation puts the total energy at -4.38 eV/atom.

It has space group Fm-3m (No. 225), with a = 6.653 Å, b = 6.653 Å, c = 6.653 Å, α = 90.00°, β = 90.00° and γ = 90.00°. The distinct sites, in fractional coordinates, are Ti at (0.000, 0.000, 0.000), Hg at (0.250, 0.250, 0.250) and Mo at (0.000, 0.000, 0.500).